A plane-wave DFT calculation with GGA-PBE was carried out for a relaxed KNa2NpSe4 crystal.

a b c (Å): 7.316 4.259 7.837
angles (deg): 90.00 111.04 90.00
Fractional coordinates of all 8 atoms:
K 0.000 0.000 0.000
Na 0.500 0.000 0.500
Na 0.500 0.500 0.000
Np 0.000 0.500 0.500
Se 0.230 0.000 0.717
Se 0.230 0.500 0.302
Se 0.770 0.000 0.283
Se 0.770 0.500 0.698

Calculated values
E: -39.2 eV per cell
Space group: P2/m, No. 10
Formation energy without anion corrections: -1077 meV/atom